No. 1
Entry from Alexandria via LeMat-Bulk: a geometry-optimized KBe2Si2 structure (PBEsol).

Results
The space group is I4/mmm. The value obtained for the density of states at the Fermi level is 1.11 states/eV per cell. As for the uncorrected formation energy: 0.165 eV/atom. Its spin magnetization is 0.00 μB per formula unit.

Unit cell a=5.7213 b=5.7213 c=5.7213 alpha=138.96 beta=138.96 gamma=59.43
Fractional coordinates of all 5 atoms:
K 0.0000 0.0000 0.0000
Be 0.2500 0.7500 0.5000
Be 0.7500 0.2500 0.5000
Si 0.3751 0.3751 0.0000
Si 0.6249 0.6249 0.0000


No. 2
Entry from Alexandria via LeMat-Bulk: a geometry-optimized NdAlO3 structure (PBEsol).

Results
The space group is Pm-3m. The value obtained for the density of states at the Fermi level is 0.00 states/eV per cell. As for the uncorrected formation energy: -3.316 eV/atom. Its spin magnetization is 0.00 μB per formula unit.

Unit cell a=3.7336 b=3.7336 c=3.7336 alpha=90.00 beta=90.00 gamma=90.00
Fractional coordinates of all 5 atoms:
Nd 0.0000 0.0000 0.0000
Al 0.5000 0.5000 0.5000
O 0.0000 0.5000 0.5000
O 0.5000 0.0000 0.5000
O 0.5000 0.5000 0.0000